{"formula": "TbMgNi2Ge2", "functional": "PBE", "state": "relaxed", "lattice_angstrom": [[4.1542, 0.0000, 0.0000], [-2.0771, 3.5976, 0.0000], [0.0000, 0.0000, 6.7033]], "species": ["Tb", "Mg", "Ni", "Ni", "Ge", "Ge"], "fractional_positions": [[0.0000, 0.0000, 0.0000], [0.0000, 0.0000, 0.5000], [0.3333, 0.6667, 0.6765], [0.6667, 0.3333, 0.3235], [0.3333, 0.6667, 0.2787], [0.6667, 0.3333, 0.7213]], "mass_density_kg_m3": 7391, "m_tot_mub_per_atom": 0.00, "dft_energy_ha_per_atom": -0.187, "delta_e_f_ev_per_atom": -0.597}

=====

{"formula": "Na3Sn5Bi12", "functional": "PBE", "state": "relaxed", "lattice_angstrom": [[-4.2284, -4.0567, 14.6993], [8.4235, -11.7191, -6.4895], [8.7708, 13.1625, 0.4771]], "species": ["Na", "Na", "Na", "Na", "Na", "Na", "Na", "Na", "Na", "Na", "Na", "Na", "Sn", "Sn", "Sn", "Sn", "Sn", "Sn", "Sn", "Sn", "Sn", "Sn", "Sn", "Sn", "Sn", "Sn", "Sn", "Sn", "Sn", "Sn", "Sn", "Sn", "Bi", "Bi", "Bi", "Bi", "Bi", "Bi", "Bi", "Bi", "Bi", "Bi", "Bi", "Bi", "Bi", "Bi", "Bi", "Bi", "Bi", "Bi", "Bi", "Bi", "Bi", "Bi", "Bi", "Bi", "Bi", "Bi", "Bi", "Bi", "Bi", "Bi", "Bi", "Bi", "Bi", "Bi", "Bi", "Bi", "Bi", "Bi", "Bi", "Bi", "Bi", "Bi", "Bi", "Bi", "Bi", "Bi", "Bi", "Bi"], "fractional_positions": [[0.7500, 0.3750, 0.1250], [0.8750, 0.7500, 0.1250], [0.3750, 0.7500, 0.6250], [0.2500, 0.1250, 0.3750], [0.8750, 0.1250, 0.2500], [0.3750, 0.6250, 0.2500], [0.6250, 0.3750, 0.7500], [0.1250, 0.8750, 0.7500], [0.7500, 0.8750, 0.6250], [0.6250, 0.2500, 0.3750], [0.1250, 0.2500, 0.8750], [0.2500, 0.6250, 0.8750], [0.1250, 0.3750, 0.2500], [0.0000, 0.5000, 0.0000], [0.0000, 0.0000, 0.0000], [0.3750, 0.2500, 0.1250], [0.5000, 0.0000, 0.5000], [0.5000, 0.5000, 0.0000], [0.1250, 0.7500, 0.3750], [0.7500, 0.1250, 0.8750], [0.7500, 0.6250, 0.3750], [0.3750, 0.1250, 0.7500], [0.6250, 0.8750, 0.2500], [0.5000, 0.5000, 0.5000], [0.5000, 0.0000, 0.0000], [0.0000, 0.0000, 0.5000], [0.2500, 0.3750, 0.6250], [0.2500, 0.8750, 0.1250], [0.0000, 0.5000, 0.5000], [0.8750, 0.2500, 0.6250], [0.6250, 0.7500, 0.8750], [0.8750, 0.6250, 0.7500], [0.7309, 0.1007, 0.0464], [0.3155, 0.5464, 0.4457], [0.9536, 0.3993, 0.2691], [0.5464, 0.2309, 0.1007], [0.6303, 0.7309, 0.6845], [0.9536, 0.5543, 0.1845], [0.3155, 0.7691, 0.3697], [0.0543, 0.8697, 0.1007], [0.5543, 0.9536, 0.6845], [0.7309, 0.6303, 0.1845], [0.7691, 0.4536, 0.3993], [0.8155, 0.9457, 0.0464], [0.1007, 0.7309, 0.5464], [0.3993, 0.4457, 0.1303], [0.1303, 0.9457, 0.3993], [0.3697, 0.1007, 0.5543], [0.1303, 0.1845, 0.2309], [0.4536, 0.6845, 0.0543], [0.8155, 0.8697, 0.2691], [0.1007, 0.3697, 0.0543], [0.3993, 0.9536, 0.7691], [0.5543, 0.6007, 0.3697], [0.9457, 0.8155, 0.5464], [0.7691, 0.3155, 0.8697], [0.4457, 0.3993, 0.6303], [0.0543, 0.1845, 0.4536], [0.2309, 0.6845, 0.1303], [0.1845, 0.1303, 0.7309], [0.6007, 0.0464, 0.2309], [0.8993, 0.6303, 0.9457], [0.5464, 0.3155, 0.9457], [0.6303, 0.8993, 0.4457], [0.8697, 0.8155, 0.7691], [0.8697, 0.0543, 0.6007], [0.8993, 0.2691, 0.4536], [0.1845, 0.0543, 0.9536], [0.6007, 0.5543, 0.8697], [0.4457, 0.0464, 0.3155], [0.2691, 0.3697, 0.8155], [0.2309, 0.5464, 0.6007], [0.9457, 0.1303, 0.8993], [0.6845, 0.2309, 0.6303], [0.4536, 0.7691, 0.8993], [0.0464, 0.4457, 0.8155], [0.3697, 0.2691, 0.3155], [0.0464, 0.6007, 0.7309], [0.6845, 0.4536, 0.5543], [0.2691, 0.8993, 0.9536]], "mass_density_kg_m3": 6903, "m_tot_mub_per_atom": 0.00, "dft_energy_ha_per_atom": -0.126, "delta_e_f_ev_per_atom": 0.111}

=====

{"formula": "Ce2DyPb2", "functional": "PBE", "state": "relaxed", "lattice_angstrom": [[-3.5880, 0.1011, -3.6308], [2.9233, -0.3452, -2.8985], [1.2089, -8.0012, 2.1721]], "species": ["Ce", "Ce", "Dy", "Pb", "Pb"], "fractional_positions": [[0.3220, 0.0000, 0.6440], [0.6780, 0.0000, 0.3560], [0.0000, 0.0000, 0.0000], [0.1484, 0.5000, 0.2968], [0.8516, 0.5000, 0.7032]], "mass_density_kg_m3": 8456, "m_tot_mub_per_atom": 0.60, "dft_energy_ha_per_atom": -0.182, "delta_e_f_ev_per_atom": -0.166}

=====

{"formula": "Ac2CdO4", "functional": "PBE", "state": "relaxed", "lattice_angstrom": [[4.2907, 0.0000, 0.0000], [0.0000, 4.2907, 0.0000], [-2.1453, -2.1453, 6.5545]], "species": ["Ac", "Ac", "O", "O", "O", "O", "Cd"], "fractional_positions": [[0.6362, 0.6362, 0.2723], [0.3638, 0.3638, 0.7277], [0.8124, 0.8124, 0.6248], [0.1876, 0.1876, 0.3752], [0.0000, 0.5000, 0.0000], [0.5000, 0.0000, 0.0000], [0.0000, 0.0000, 0.0000]], "mass_density_kg_m3": 8675, "de_polymorph_mev_per_atom": 0, "formation_energy_uncorrected_ev_per_fu": -17.12, "m_tot_mub_per_atom": 0.00, "dft_energy_ha_per_atom": -0.242}

=====

{"formula": "Th4NpS10", "functional": "PBE", "state": "relaxed", "lattice_angstrom": [[6.0561, 0.0000, 2.7346], [3.0281, 7.4219, 1.3673], [-0.0263, 0.0000, 8.1316]], "species": ["Th", "Th", "Th", "Th", "Np", "S", "S", "S", "S", "S", "S", "S", "S", "S", "S"], "fractional_positions": [[0.3998, 0.8012, 0.3993], [0.7990, 0.6007, 0.8012], [0.2010, 0.3993, 0.1988], [0.6002, 0.1988, 0.6007], [0.0000, 0.0000, 0.0000], [0.2500, 0.5000, 0.5000], [0.6549, 0.2959, 0.9023], [0.0492, 0.0977, 0.2959], [0.4429, 0.9023, 0.7041], [0.8530, 0.7041, 0.0977], [0.3451, 0.7041, 0.0977], [0.7500, 0.5000, 0.5000], [0.1470, 0.2959, 0.9023], [0.5571, 0.0977, 0.2959], [0.9508, 0.9023, 0.7041]], "mass_density_kg_m3": 6741, "formation_energy_uncorrected_ev_per_fu": -27.84, "m_tot_mub_per_atom": 0.20, "dft_energy_ha_per_atom": -0.274}

=====

{"formula": "Sr6Cd5Pt", "functional": "PBE", "state": "relaxed", "lattice_angstrom": [[-3.2663, -2.1670, -4.0602], [4.0109, -6.8036, 0.4045], [-3.8245, -1.7839, 7.9211]], "species": ["Sr", "Sr", "Sr", "Sr", "Sr", "Sr", "Pt", "Cd", "Cd", "Cd", "Cd", "Cd"], "fractional_positions": [[0.8448, 0.7589, 0.6871], [0.8448, 0.2410, 0.6871], [0.5000, 0.2317, 0.0000], [0.5000, 0.7683, 0.0000], [0.1552, 0.7590, 0.3129], [0.1552, 0.2411, 0.3129], [0.0000, 0.0000, 0.0000], [0.6666, 0.5000, 0.3375], [0.3231, 0.0000, 0.6428], [0.0000, 0.5000, 0.0000], [0.6769, 0.0000, 0.3572], [0.3334, 0.5000, 0.6625]], "mass_density_kg_m3": 5598, "m_tot_mub_per_atom": 0.00, "dft_energy_ha_per_atom": -0.078, "delta_e_f_ev_per_atom": -0.384}

=====

{"formula": "CsY2B2S6", "functional": "PBE", "state": "relaxed", "lattice_angstrom": [[7.1260, 0.0032, 0.0035], [3.5590, 6.4652, -0.0373], [-0.0002, -3.6319, 6.4033]], "species": ["Cs", "Y", "Y", "B", "B", "S", "S", "S", "S", "S", "S"], "fractional_positions": [[0.5000, 0.0000, 0.5000], [0.8283, 0.3434, 0.8271], [0.1717, 0.6566, 0.1729], [0.1492, 0.7020, 0.7618], [0.8508, 0.2980, 0.2382], [0.3947, 0.6457, 0.8603], [0.0398, 0.3548, 0.1399], [0.0721, 0.8560, 0.6092], [0.9602, 0.6452, 0.8601], [0.9279, 0.1440, 0.3908], [0.6053, 0.3543, 0.1397]], "mass_density_kg_m3": 2964, "formation_energy_uncorrected_ev_per_fu": -12.10, "m_tot_mub_per_atom": 0.00, "dft_energy_ha_per_atom": -0.214}

=====

{"formula": "KP3", "functional": "PBE", "state": "relaxed", "lattice_angstrom": [[6.1123, 0.2041, 0.0214], [0.9552, 6.0406, -0.0214], [-1.5513, -5.3660, 2.4902]], "species": ["K", "P", "P", "P"], "fractional_positions": [[0.8826, 0.0000, 0.8826], [0.4579, 0.5000, 0.9579], [0.0817, 0.3353, 0.7464], [0.4111, 0.6647, 0.7464]], "mass_density_kg_m3": 2413, "de_polymorph_mev_per_atom": 229, "m_tot_mub_per_atom": 0.00, "dft_energy_ha_per_atom": -0.155, "delta_e_f_ev_per_atom": 0.127}